(1)
A plane-wave DFT calculation with PBE-GGA was carried out for a relaxed structure of Ce6Tl2In.

Properties
Space-group type: P6/mmm
Energy above the most stable polymorph in this dataset: 0.000 eV per atom
Volume: 25.7 Å³/atom
Energy relative to the elements: -1.23 eV/f.u.
Fermi-level density of states: 26.0 states/eV/cell

```
Ce6Tl2In
1.0
9.1832 0.0000 0.0000
-4.5916 7.9529 0.0000
0.0000 0.0000 3.1611
Ce Tl In
6 2 1
Cartesian
-1.5104 2.6161 0.0000
-3.0812 5.3368 0.0000
3.0208 0.0000 0.0000
1.5104 2.6161 0.0000
6.1624 0.0000 0.0000
3.0812 5.3368 0.0000
0.0000 5.3020 1.5805
4.5916 2.6510 1.5805
0.0000 0.0000 1.5805
```

(2)
A plane-wave DFT calculation with PBE-GGA was carried out for a relaxed structure of As2PIr.

Properties
Space-group type: P4mm
Volume: 17.7 Å³/atom
Energy relative to the elements: 0.76 eV/f.u.
Fermi-level density of states: 1.6 states/eV/cell

```
As2PIr
1.0
2.8616 0.0000 0.0000
0.0000 2.8616 0.0000
0.0000 0.0000 8.6375
As P Ir
2 1 1
Cartesian
0.0000 0.0000 0.0000
1.4308 1.4308 2.4081
1.4308 1.4308 5.8897
0.0000 0.0000 4.5350
```

(3)
A plane-wave DFT calculation with PBE-GGA was carried out for a relaxed structure of Ba3TlRu.

Properties
Space-group type: Pm-3m
Energy above the most stable polymorph in this dataset: 0.000 eV per atom
Volume: 40.8 Å³/atom
Energy relative to the elements: 0.63 eV/f.u.
Fermi-level density of states: 6.8 states/eV/cell

```
Ba3TlRu
1.0
5.8858 0.0000 0.0000
0.0000 5.8858 0.0000
0.0000 0.0000 5.8858
Ba Tl Ru
3 1 1
Cartesian
0.0000 0.0000 2.9429
0.0000 2.9429 0.0000
2.9429 0.0000 0.0000
2.9429 2.9429 2.9429
0.0000 0.0000 0.0000
```

(4)
A plane-wave DFT calculation with PBE-GGA was carried out for a relaxed structure of Li2SnIrN.

Properties
Space-group type: P4/mmm
Volume: 14.2 Å³/atom
Fermi-level density of states: 1.2 states/eV/cell
Energy relative to the elements, uncorrected: -1.6 eV/f.u.

```
Li2SnIrN
1.0
4.3269 0.0000 0.0000
0.0000 4.3269 0.0000
0.0000 0.0000 3.7974
Li Sn Ir N
2 1 1 1
Cartesian
0.0000 2.1634 0.0000
2.1634 0.0000 0.0000
0.0000 0.0000 1.8987
2.1634 2.1634 1.8987
2.1634 2.1634 0.0000
```

(5)
A plane-wave DFT calculation with PBE-GGA was carried out for a relaxed structure of Pu2ZnRh.

Properties
Space-group type: R-3m
Volume: 20.2 Å³/atom
Energy relative to the elements: 0.84 eV/f.u.
Fermi-level density of states: 11.2 states/eV/cell

```
Pu2ZnRh
1.0
1.4564 0.8408 11.0150
-1.4564 0.8408 11.0150
0.0000 -1.6817 11.0150
Pu Zn Rh
2 1 1
Cartesian
0.0000 0.0000 3.0578
0.0000 0.0000 29.9873
0.0000 0.0000 0.0000
0.0000 0.0000 16.5226
```

(6)
A plane-wave DFT calculation with PBE-GGA was carried out for a relaxed structure of Er6Mg2Ag.

Properties
Space-group type: Immm
Volume: 31.5 Å³/atom
Energy relative to the elements: 2.66 eV/f.u.
Fermi-level density of states: 11.3 states/eV/cell

```
Er6Mg2Ag
1.0
-2.5137 3.6854 7.6468
2.5137 -3.6854 7.6468
2.5137 3.6854 -7.6468
Er Mg Ag
6 2 1
Cartesian
2.5137 1.7700 -2.4789
0.0000 1.7434 0.0000
2.5137 1.7700 2.4789
0.0000 1.9153 5.1679
0.0000 5.6274 0.0000
0.0000 1.9153 10.1257
2.5137 0.0000 5.1189
0.0000 3.6854 2.5279
2.5137 0.0000 0.0000
```

(7)
A plane-wave DFT calculation with PBE-GGA was carried out for a relaxed structure of NdTl2As2Pt7.

Properties
Space-group type: C2/m
Volume: 21.3 Å³/atom
Energy relative to the elements: -5.10 eV/f.u.
Fermi-level density of states: 5.1 states/eV/cell

```
NdTl2As2Pt7
1.0
2.8532 -2.8520 0.0000
2.8532 2.8520 0.0000
-2.6241 0.0000 15.6761
Nd Tl As Pt
1 2 2 7
Cartesian
0.0000 0.0000 0.0000
0.0525 0.0000 6.6352
3.0299 0.0000 9.0409
0.2242 0.0000 11.9485
2.8581 0.0000 3.7276
1.4301 1.4255 2.2553
0.1781 0.0000 9.5411
1.6522 1.4255 13.4208
2.8532 0.0000 0.0000
1.4301 -1.4255 2.2553
2.9043 0.0000 6.1350
1.6522 -1.4255 13.4208
```

(8)
A plane-wave DFT calculation with PBE-GGA was carried out for a relaxed structure of HoI2Cl.

Properties
Space-group type: P-1
Energy above the most stable polymorph in this dataset: 0.000 eV per atom
Volume: 47.4 Å³/atom
Fermi-level density of states: 0.0 states/eV/cell
Energy relative to the elements, uncorrected: -6.7 eV/f.u.

```
HoI2Cl
1.0
4.3239 0.0000 0.0000
-0.0001 5.2574 0.0000
-2.1290 -0.1296 8.3492
Ho I Cl
1 2 1
Cartesian
0.0000 0.0000 0.0000
0.0328 5.1279 6.2191
2.1619 -0.0001 2.1300
-0.0001 2.6287 0.0000
```